[1]
DFT (PBE) results for a relaxed structure of CaCe2YTe4.

Cell and atoms, written as CIF:
```
data_CaCe2YTe4
_space_group_name_H-M_alt 'P 1 2/m 1'
_space_group_IT_number 10
_space_group_name_Hall '-P 2y'
_cell_length_a 7.6861
_cell_length_b 4.4222
_cell_length_c 7.8269
_cell_angle_alpha 90.00
_cell_angle_beta 108.97
_cell_angle_gamma 90.00
loop_
_atom_site_label
_atom_site_type_symbol
_atom_site_fract_x
_atom_site_fract_y
_atom_site_fract_z
Ca1 Ca 0.0000 0.0000 0.0000
Ce1 Ce 0.0000 0.5000 0.5000
Ce2 Ce 0.5000 0.0000 0.5000
Y1 Y 0.5000 0.5000 0.0000
Te1 Te 0.2489 0.5000 0.2410
Te2 Te 0.2548 0.0000 0.7600
```

***

[2]
DFT (PBE) results for a relaxed structure of AcSnO3.

Cell and atoms, written as CIF:
```
data_AcSnO3
_space_group_name_H-M_alt 'P m -3 m'
_space_group_IT_number 221
_space_group_name_Hall '-P 4 2 3'
_cell_length_a 4.2820
_cell_length_b 4.2820
_cell_length_c 4.2820
_cell_angle_alpha 90.00
_cell_angle_beta 90.00
_cell_angle_gamma 90.00
loop_
_atom_site_label
_atom_site_type_symbol
_atom_site_fract_x
_atom_site_fract_y
_atom_site_fract_z
Ac1 Ac 0.0000 0.0000 0.0000
Sn1 Sn 0.5000 0.5000 0.5000
O1 O 0.0000 0.5000 0.5000
```

***

Asked for formation energy (no corrections) across the records above, the calculation gives -135.42, -200.67 kJ per mole of atoms in order.
Asked for magnetic moment across the records above, the calculation gives 2.7, 0.0 Bohr magnetons per cell in order.